(1)
A geometry-optimized KFeIr2 structure. Source: the Alexandria database, functional GGA-PBE.

Lattice parameters (Å, degrees): 5.4337 5.4337 2.5530 90.00 90.00 114.94
Last column: nearest neighbours and their distance in Å.
Positions (direct):
K: 0.5000 0.0000 0.5000  2 K 2.55
Ir: 0.5000 0.5000 0.0000  2 Ir 2.55
Ir: 0.0000 0.0000 0.0000  2 Ir 2.55
Fe: 0.0000 0.5000 0.5000  2 Fe 2.55

ΔH_f (0 K), eV per atom: 0.97
Energy relative to the lowest polymorph listed for this composition, kJ/mol of formula units: 203.9

=====

(2)
A geometry-optimized Ce8AlGa2 structure. Source: the Alexandria database, functional GGA-PBE.

Lattice parameters (Å, degrees): 4.4753 8.4009 8.5082 115.31 105.25 90.00
Last column: nearest neighbours and their distance in Å.
Positions (direct):
Ga: 0.2000 0.6971 0.4000  10 Ce 3.05-3.37
Ce: 0.8487 0.8870 0.6974  3 Ce 2.88-3.19, 2 Al 3.16, 2 Ga 3.17
Ce: 0.1513 0.1130 0.3026  3 Ce 2.88-3.19, 2 Al 3.16, 2 Ga 3.17
Ga: 0.8000 0.3029 0.6000  10 Ce 3.05-3.37
Ce: 0.3657 0.5782 0.7315  2 Ce 2.86, 2 Ga 3.05
Al: 0.5000 0.0000 0.0000  8 Ce 3.05-3.24
Ce: 0.6587 0.9042 0.3174  3 Ce 2.88-3.19, 1 Al 3.05, 3 Ga 3.09-3.12
Ce: 0.9862 0.6547 0.9724  3 Ce 2.83-2.86
Ce: 0.3413 0.0958 0.6826  3 Ce 2.88-3.19, 1 Al 3.05, 3 Ga 3.09-3.12
Ce: 0.6343 0.4218 0.2685  2 Ce 2.86, 2 Ga 3.05
Ce: 0.0138 0.3453 0.0276  3 Ce 2.83-2.86

ΔH_f (0 K), eV per atom: -0.20
Energy relative to the lowest polymorph listed for this composition, kJ/mol of formula units: 0.0

=====

(3)
A geometry-optimized La4Nb structure. Source: the Alexandria database, functional GGA-PBE.

Lattice parameters (Å, degrees): 5.7074 5.7074 5.7074 90.00 90.00 90.00
Last column: nearest neighbours and their distance in Å.
Positions (direct):
Nb: 0.5000 0.5000 0.5000  6 La 2.85
La: 0.0000 0.0000 0.0000  12 La 4.04
La: 0.0000 0.5000 0.5000  2 Nb 2.85
La: 0.5000 0.0000 0.5000  2 Nb 2.85
La: 0.5000 0.5000 0.0000  2 Nb 2.85

ΔH_f (0 K), eV per atom: 0.40

=====

(4)
A geometry-optimized TiSnBr2 structure. Source: the Alexandria database, functional GGA-PBE.

Lattice parameters (Å, degrees): 5.1376 5.1376 5.1376 60.00 60.00 60.00
Last column: nearest neighbours and their distance in Å.
Positions (direct):
Ti: 0.0000 0.0000 0.0000  8 Br 3.15
Sn: 0.5000 0.5000 0.5000  8 Br 3.15
Br: 0.2500 0.2500 0.2500  4 Sn 3.15, 4 Ti 3.15
Br: 0.7500 0.7500 0.7500  4 Sn 3.15, 4 Ti 3.15

Energy relative to the lowest polymorph listed for this composition, kJ/mol of formula units: 259.1
Raw formation energy, eV/atom: 0.077